[1]
# Na2Re3S6 (PBE-GGA, relaxed)
data_Na2Re3S6
_space_group_name_H-M_alt 'C 1 2/c 1'
_space_group_IT_number 15
_cell_length_a 16.0468
_cell_length_b 9.7426
_cell_length_c 11.6512
_cell_angle_alpha 90.00
_cell_angle_beta 93.07
_cell_angle_gamma 90.00
loop_
_space_group_symop_operation_xyz
'x,y,z'
'-x,-y,-z'
'-x,y,-z+1/2'
'x,-y,z+1/2'
'x+1/2,y+1/2,z'
'-x+1/2,-y+1/2,-z'
'-x+1/2,y+1/2,-z+1/2'
'x+1/2,-y+1/2,z+1/2'
loop_
_atom_site_label
_atom_site_fract_x
_atom_site_fract_y
_atom_site_fract_z
Na1 0.0000 0.0842 0.2500
Na2 0.0000 0.2839 0.7500
Na3 0.1274 0.2640 0.0022
Re1 0.1562 0.3570 0.4679
Re2 0.2021 0.1068 0.4117
Re3 0.2019 0.1800 0.6307
S1 0.0335 0.4996 0.4245
S2 0.0734 0.1560 0.5087
S3 0.1346 0.0896 0.8026
S4 0.1630 0.2799 0.2700
S5 0.1633 0.4136 0.6692
S6 0.2474 0.0436 0.0690
# E_tot (eV per cell): -581.9
# Crystal system: monoclinic
# Formation energy without anion corrections (kJ/mol of formula units): -772



[2]
# SrLiPrRh (PBE-GGA, relaxed)
data_SrLiPrRh
_space_group_name_H-M_alt 'F -4 3 m'
_space_group_IT_number 216
_space_group_name_Hall 'F -4 2 3'
_cell_length_a 7.3673
_cell_length_b 7.3673
_cell_length_c 7.3673
_cell_angle_alpha 90.00
_cell_angle_beta 90.00
_cell_angle_gamma 90.00
loop_
_atom_site_label
_atom_site_fract_x
_atom_site_fract_y
_atom_site_fract_z
Sr1 0.0000 0.0000 0.0000
Li1 0.2500 0.2500 0.2500
Pr1 0.0000 0.0000 0.5000
Rh1 0.2500 0.2500 0.7500
# E_tot (eV per cell): -66.0
# Crystal system: cubic